First-principles (PBE) data for a relaxed structure of KZr2IrI, as listed in Alexandria via LeMat-Bulk.

a = 5.2736 Å, b = 5.2736 Å, c = 4.6455 Å
α = 90.00°, β = 90.00°, γ = 90.00°
Positions (direct):
K 0.0000 0.0000 0.0000
Zr 0.0000 0.5000 0.0000
Zr 0.5000 0.0000 0.0000
Ir 0.0000 0.0000 0.5000
I 0.5000 0.5000 0.5000

Properties
E = -3.64 eV/atom
Formation energy without anion corrections = 2.076 eV per atom
M_tot = 0.0813 μB/atom
SG = No. 123

First-principles (PBE) data for a relaxed structure of La2IrI2, as listed in Alexandria via LeMat-Bulk.

a = 11.9397 Å, b = 11.9397 Å, c = 11.9397 Å
α = 20.61°, β = 20.61°, γ = 20.61°
Positions (direct):
La 0.1204 0.1204 0.1204
La 0.8796 0.8796 0.8796
Ir 0.5000 0.5000 0.5000
I 0.3894 0.3894 0.3894
I 0.6106 0.6106 0.6106

Properties
E above lowest polymorph = 0.000 eV per atom
E = -5.49 eV/atom
Formation energy without anion corrections = -1.131 eV per atom
M_tot = 0.0014 μB/atom
SG = No. 166

First-principles (PBE) data for a relaxed structure of La4IrI5, as listed in Alexandria via LeMat-Bulk.

a = 10.2669 Å, b = 10.2669 Å, c = 9.3385 Å
α = 103.06°, β = 103.06°, γ = 24.35°
Positions (direct):
La 0.0009 0.0009 0.2927
La 0.3542 0.3542 0.4201
La 0.6458 0.6458 0.5799
La 0.9991 0.9991 0.7073
Ir 0.5000 0.5000 0.5000
I 0.1679 0.1679 0.8495
I 0.1753 0.1753 0.3296
I 0.5000 0.5000 0.0000
I 0.8247 0.8247 0.6704
I 0.8321 0.8321 0.1505

Properties
E = -4.94 eV/atom
Formation energy without anion corrections = -1.304 eV per atom
M_tot = 0.0113 μB/atom
SG = No. 12

First-principles (PBE) data for a relaxed structure of La4Ir2I, as listed in Alexandria via LeMat-Bulk.

a = 15.0475 Å, b = 15.0475 Å, c = 15.0475 Å
α = 16.32°, β = 16.32°, γ = 16.32°
Positions (direct):
La 0.1253 0.1253 0.1253
La 0.2751 0.2751 0.2751
La 0.7249 0.7249 0.7249
La 0.8747 0.8747 0.8747
Ir 0.4257 0.4257 0.4257
Ir 0.5743 0.5743 0.5743
I 0.0000 0.0000 0.0000

Properties
E = -6.46 eV/atom
Formation energy without anion corrections = -0.893 eV per atom
M_tot = 0.0000 μB/atom
SG = No. 166

First-principles (PBE) data for a relaxed structure of LaIrI3, as listed in Alexandria via LeMat-Bulk.

a = 5.4130 Å, b = 5.4130 Å, c = 5.4130 Å
α = 90.00°, β = 90.00°, γ = 90.00°
Positions (direct):
La 0.0000 0.0000 0.0000
Ir 0.5000 0.5000 0.5000
I 0.0000 0.5000 0.5000
I 0.5000 0.0000 0.5000
I 0.5000 0.5000 0.0000

Properties
E = -3.85 eV/atom
Formation energy without anion corrections = -0.165 eV per atom
M_tot = 0.0002 μB/atom
SG = No. 221

First-principles (PBE) data for a relaxed structure of La4Ir2I3, as listed in Alexandria via LeMat-Bulk.

a = 4.2654 Å, b = 4.2654 Å, c = 19.9241 Å
α = 90.06°, β = 90.06°, γ = 60.00°
Positions (direct):
La 0.0008 0.0008 0.2881
La 0.3337 0.3337 0.1306
La 0.6663 0.6663 0.8694
La 0.9992 0.9992 0.7119
Ir 0.3328 0.3328 0.7953
Ir 0.6672 0.6672 0.2047
I 0.0000 0.0000 0.0000
I 0.3345 0.3345 0.3999
I 0.6655 0.6655 0.6001

Properties
E = -5.83 eV/atom
Formation energy without anion corrections = -1.151 eV per atom
M_tot = 0.0000 μB/atom
SG = No. 12

First-principles (PBE) data for a relaxed structure of LaIrI, as listed in Alexandria via LeMat-Bulk.

a = 4.1571 Å, b = 4.1571 Å, c = 11.1781 Å
α = 91.21°, β = 91.21°, γ = 83.82°
Positions (direct):
La 0.1568 0.1568 0.1580
La 0.8432 0.8432 0.8420
Ir 0.4031 0.4031 0.8959
Ir 0.5969 0.5969 0.1041
I 0.2552 0.2552 0.6581
I 0.7448 0.7448 0.3419

Properties
E = -5.95 eV/atom
Formation energy without anion corrections = -0.838 eV per atom
M_tot = 0.0000 μB/atom
SG = No. 12

First-principles (PBE) data for a relaxed structure of LaIr2I, as listed in Alexandria via LeMat-Bulk.

a = 4.9678 Å, b = 4.9678 Å, c = 4.9678 Å
α = 60.00°, β = 60.00°, γ = 60.00°
Positions (direct):
La 0.0000 0.0000 0.0000
Ir 0.2500 0.2500 0.2500
Ir 0.7500 0.7500 0.7500
I 0.5000 0.5000 0.5000

Properties
E above lowest polymorph = 0.172 eV per atom
E = -5.62 eV/atom
Formation energy without anion corrections = 0.426 eV per atom
M_tot = 0.0000 μB/atom
SG = No. 225

First-principles (PBE) data for a relaxed structure of La3IrI3, as listed in Alexandria via LeMat-Bulk.

a = 10.9785 Å, b = 10.9785 Å, c = 10.9785 Å
α = 109.47°, β = 109.47°, γ = 109.47°
Positions (direct):
La 0.0214 0.0427 0.2714
La 0.0214 0.4786 0.7500
La 0.0427 0.2714 0.0214
La 0.2286 0.2714 0.7500
La 0.2286 0.4573 0.4786
La 0.2714 0.0214 0.0427
La 0.2714 0.7500 0.2286
La 0.4573 0.4786 0.2286
La 0.4786 0.2286 0.4573
La 0.4786 0.7500 0.0214
La 0.7500 0.0214 0.4786
La 0.7500 0.2286 0.2714
Ir 0.0000 0.2500 0.5000
Ir 0.2500 0.2500 0.2500
Ir 0.2500 0.5000 0.0000
Ir 0.5000 0.0000 0.2500
I 0.2500 0.7597 0.7403
I 0.2500 0.9904 0.5097
I 0.5097 0.2500 0.9904
I 0.5097 0.7597 0.5193
I 0.5193 0.5097 0.7597
I 0.7403 0.2500 0.7597
I 0.7403 0.9904 0.9807
I 0.7597 0.5193 0.5097
I 0.7597 0.7403 0.2500
I 0.9807 0.7403 0.9904
I 0.9904 0.5097 0.2500
I 0.9904 0.9807 0.7403

Properties
E = -5.30 eV/atom
Formation energy without anion corrections = -1.258 eV per atom
M_tot = 0.0000 μB/atom
SG = No. 214

First-principles (PBE) data for a relaxed structure of La2IrI, as listed in Alexandria via LeMat-Bulk.

a = 8.6816 Å, b = 8.6816 Å, c = 8.6816 Å
α = 28.33°, β = 28.33°, γ = 28.33°
Positions (direct):
La 0.0000 0.0000 0.0000
La 0.2111 0.2111 0.2111
Ir 0.6053 0.6053 0.6053
I 0.7739 0.7739 0.7739

Properties
E above lowest polymorph = 0.020 eV per atom
E = -6.15 eV/atom
Formation energy without anion corrections = -1.086 eV per atom
M_tot = 0.0000 μB/atom
SG = No. 160

First-principles (PBE) data for a relaxed structure of La2IrI, as listed in Alexandria via LeMat-Bulk.

a = 7.0869 Å, b = 7.0869 Å, c = 7.0869 Å
α = 111.01°, β = 111.01°, γ = 106.43°
Positions (direct):
La 0.0634 0.6250 0.9384
La 0.3750 0.3134 0.4384
La 0.6866 0.1250 0.0616
La 0.8750 0.9366 0.5616
Ir 0.0000 0.0000 0.0000
Ir 0.7500 0.2500 0.5000
I 0.2500 0.7500 0.5000
I 0.5000 0.5000 0.0000

Properties
E above lowest polymorph = 0.438 eV per atom
E = -5.74 eV/atom
Formation energy without anion corrections = -0.669 eV per atom
M_tot = 0.0000 μB/atom
SG = No. 122

First-principles (PBE) data for a relaxed structure of La4Ir2I5, as listed in Alexandria via LeMat-Bulk.

a = 12.2151 Å, b = 12.2151 Å, c = 9.1029 Å
α = 96.55°, β = 96.55°, γ = 20.57°
Positions (direct):
La 0.0311 0.0311 0.2202
La 0.3384 0.3384 0.9233
La 0.6616 0.6616 0.0767
La 0.9689 0.9689 0.7798
Ir 0.4473 0.4473 0.9586
Ir 0.5527 0.5527 0.0414
I 0.1661 0.1661 0.3486
I 0.1915 0.1915 0.8289
I 0.5000 0.5000 0.5000
I 0.8085 0.8085 0.1711
I 0.8339 0.8339 0.6514

Properties
E = -5.22 eV/atom
Formation energy without anion corrections = -1.109 eV per atom
M_tot = 0.0000 μB/atom
SG = No. 12

Q: Which value of M_tot does entry 9 give?
A: 0.0000 μB/atom

Q: Which of these has the highest E?
A: KZr2IrI

Q: M_tot of number 4 (La4Ir2I)?
A: 0.0000 μB/atom

Q: What is the M_tot in the third record?
A: 0.0113 μB/atom